# Rb2SiSbSe4 (PBE-GGA, optimized geometry)
# Raw formation energy (eV/atom): -0.630
# Total DFT energy (no corrections) (eV per atom): -3.807
data_Rb2SiSbSe4
_space_group_name_H-M_alt 'P m n 21'
_space_group_IT_number 31
_cell_length_a 9.320
_cell_length_b 7.754
_cell_length_c 8.188
_cell_angle_alpha 90.00
_cell_angle_beta 90.00
_cell_angle_gamma 90.00
loop_
_space_group_symop_operation_xyz
'x,y,z'
'-x+1/2,-y,z+1/2'
'-x,y,z'
'x+1/2,-y,z+1/2'
loop_
_atom_site_label
_atom_site_fract_x
_atom_site_fract_y
_atom_site_fract_z
Rb1 0.241 0.224 0.000
Si1 0.000 0.158 0.575
Sb1 0.000 0.778 0.099
Se1 0.000 0.050 0.281
Se2 0.000 0.938 0.758
Se3 0.202 0.329 0.580

***

# Rb2SmSbSe4 (PBE-GGA, optimized geometry)
# Raw formation energy (eV/atom): -1.165
# Total DFT energy (no corrections) (eV per atom): -4.255
data_Rb2SmSbSe4
_space_group_name_H-M_alt 'I m m a'
_space_group_IT_number 74
_space_group_name_Hall '-I 2b 2'
_cell_length_a 8.939
_cell_length_b 8.983
_cell_length_c 12.674
_cell_angle_alpha 90.00
_cell_angle_beta 90.00
_cell_angle_gamma 90.00
loop_
_atom_site_label
_atom_site_fract_x
_atom_site_fract_y
_atom_site_fract_z
Rb1 0.000 0.000 0.000
Rb2 0.250 0.250 0.250
Sm1 0.250 0.250 0.750
Sb1 0.000 0.000 0.500
Se1 0.000 0.032 0.732
Se2 0.217 0.250 0.516

***

# Rb2SnSb2Se6 (PBE-GGA, optimized geometry)
# Raw formation energy (eV/atom): -0.599
# Total DFT energy (no corrections) (eV per atom): -3.789
data_Rb2SnSb2Se6
_space_group_name_H-M_alt 'C 1 2/m 1'
_space_group_IT_number 12
_cell_length_a 7.157
_cell_length_b 12.340
_cell_length_c 8.681
_cell_angle_alpha 90.00
_cell_angle_beta 106.75
_cell_angle_gamma 90.00
loop_
_space_group_symop_operation_xyz
'x,y,z'
'-x,-y,-z'
'-x,y,-z'
'x,-y,z'
'x+1/2,y+1/2,z'
'-x+1/2,-y+1/2,-z'
'-x+1/2,y+1/2,-z'
'x+1/2,-y+1/2,z'
loop_
_atom_site_label
_atom_site_fract_x
_atom_site_fract_y
_atom_site_fract_z
Rb1 0.000 0.172 0.000
Sn1 0.000 0.000 0.500
Sb1 0.000 0.330 0.500
Se1 0.227 0.159 0.692
Se2 0.244 0.000 0.310

***

# Rb2SnSbSe4 (PBE-GGA, optimized geometry)
# Raw formation energy (eV/atom): -0.615
# Total DFT energy (no corrections) (eV per atom): -3.615
data_Rb2SnSbSe4
_space_group_name_H-M_alt 'I -4 2 m'
_space_group_IT_number 121
_space_group_name_Hall 'I -4 2'
_cell_length_a 8.466
_cell_length_b 8.466
_cell_length_c 7.397
_cell_angle_alpha 90.00
_cell_angle_beta 90.00
_cell_angle_gamma 90.00
loop_
_atom_site_label
_atom_site_fract_x
_atom_site_fract_y
_atom_site_fract_z
Rb1 0.000 0.500 0.000
Sn1 0.000 0.000 0.000
Sb1 0.000 0.000 0.500
Se1 0.175 0.175 0.754

***

# Rb2SrSbSe4 (PBE-GGA, optimized geometry)
# Raw formation energy (eV/atom): -0.989
# Total DFT energy (no corrections) (eV per atom): -3.699
data_Rb2SrSbSe4
_space_group_name_H-M_alt 'I m m a'
_space_group_IT_number 74
_space_group_name_Hall '-I 2b 2'
_cell_length_a 8.791
_cell_length_b 9.401
_cell_length_c 12.840
_cell_angle_alpha 90.00
_cell_angle_beta 90.00
_cell_angle_gamma 90.00
loop_
_atom_site_label
_atom_site_fract_x
_atom_site_fract_y
_atom_site_fract_z
Rb1 0.000 0.000 0.000
Rb2 0.250 0.250 0.250
Sr1 0.000 0.000 0.500
Sb1 0.250 0.250 0.750
Se1 0.000 0.046 0.743
Se2 0.232 0.250 0.530

***

# RbTaSb2Se (PBE-GGA, optimized geometry)
# Raw formation energy (eV/atom): 2.418
# Total DFT energy (no corrections) (eV per atom): -2.492
data_RbTaSb2Se
_space_group_name_H-M_alt 'P 4/m m m'
_space_group_IT_number 123
_space_group_name_Hall '-P 4 2'
_cell_length_a 5.881
_cell_length_b 5.881
_cell_length_c 5.333
_cell_angle_alpha 90.00
_cell_angle_beta 90.00
_cell_angle_gamma 90.00
loop_
_atom_site_label
_atom_site_fract_x
_atom_site_fract_y
_atom_site_fract_z
Rb1 0.000 0.000 0.000
Ta1 0.000 0.000 0.500
Sb1 0.000 0.500 0.000
Se1 0.500 0.500 0.500

***

# Rb4Tb3SbSe8 (PBE-GGA, optimized geometry)
# Raw formation energy (eV/atom): -1.476
# Total DFT energy (no corrections) (eV per atom): -4.586
data_Rb4Tb3SbSe8
_space_group_name_H-M_alt 'R -3 m'
_space_group_IT_number 166
_space_group_name_Hall '-R 3 2"'
_cell_length_a 8.5433
_cell_length_b 8.5433
_cell_length_c 23.9380
_cell_angle_alpha 90.00
_cell_angle_beta 90.00
_cell_angle_gamma 120.00
loop_
_atom_site_label
_atom_site_fract_x
_atom_site_fract_y
_atom_site_fract_z
Rb1 0.0000 0.0000 0.0000
Rb2 0.0000 0.5000 0.0000
Tb1 0.0000 0.5000 0.5000
Sb1 0.0000 0.0000 0.5000
Se1 0.0000 0.0000 0.2321
Se2 0.0008 0.5004 0.7681

***

# Rb3TbSb2Se6 (PBE-GGA, optimized geometry)
# Raw formation energy (eV/atom): -1.032
# Total DFT energy (no corrections) (eV per atom): -4.089
data_Rb3TbSb2Se6
_space_group_name_H-M_alt 'C 1 2/m 1'
_space_group_IT_number 12
_cell_length_a 7.415
_cell_length_b 12.843
_cell_length_c 8.353
_cell_angle_alpha 90.00
_cell_angle_beta 107.19
_cell_angle_gamma 90.00
loop_
_space_group_symop_operation_xyz
'x,y,z'
'-x,-y,-z'
'-x,y,-z'
'x,-y,z'
'x+1/2,y+1/2,z'
'-x+1/2,-y+1/2,-z'
'-x+1/2,y+1/2,-z'
'x+1/2,-y+1/2,z'
loop_
_atom_site_label
_atom_site_fract_x
_atom_site_fract_y
_atom_site_fract_z
Rb1 0.000 0.000 0.000
Rb2 0.000 0.332 0.000
Tb1 0.000 0.500 0.500
Sb1 0.000 0.166 0.500
Se1 0.231 0.334 0.696
Se2 0.233 0.000 0.696

***

# Rb2TbSbSe4 (PBE-GGA, optimized geometry)
# Raw formation energy (eV/atom): -1.164
# Total DFT energy (no corrections) (eV per atom): -4.242
data_Rb2TbSbSe4
_space_group_name_H-M_alt 'I m m a'
_space_group_IT_number 74
_space_group_name_Hall '-I 2b 2'
_cell_length_a 8.843
_cell_length_b 8.977
_cell_length_c 12.602
_cell_angle_alpha 90.00
_cell_angle_beta 90.00
_cell_angle_gamma 90.00
loop_
_atom_site_label
_atom_site_fract_x
_atom_site_fract_y
_atom_site_fract_z
Rb1 0.000 0.000 0.000
Rb2 0.250 0.250 0.250
Tb1 0.250 0.250 0.750
Sb1 0.000 0.000 0.500
Se1 0.000 0.035 0.733
Se2 0.218 0.250 0.518

***

# Rb2TcSbSe (PBE-GGA, optimized geometry)
# Raw formation energy (eV/atom): 0.499
# Total DFT energy (no corrections) (eV per atom): -3.483
data_Rb2TcSbSe
_space_group_name_H-M_alt 'P 4/m m m'
_space_group_IT_number 123
_space_group_name_Hall '-P 4 2'
_cell_length_a 6.509
_cell_length_b 6.509
_cell_length_c 5.052
_cell_angle_alpha 90.00
_cell_angle_beta 90.00
_cell_angle_gamma 90.00
loop_
_atom_site_label
_atom_site_fract_x
_atom_site_fract_y
_atom_site_fract_z
Rb1 0.000 0.500 0.000
Tc1 0.000 0.000 0.000
Sb1 0.000 0.000 0.500
Se1 0.500 0.500 0.500

***

# RbTcSb2Se (PBE-GGA, optimized geometry)
# Raw formation energy (eV/atom): 2.211
# Total DFT energy (no corrections) (eV per atom): -2.401
data_RbTcSb2Se
_space_group_name_H-M_alt 'P 4/m m m'
_space_group_IT_number 123
_space_group_name_Hall '-P 4 2'
_cell_length_a 5.999
_cell_length_b 5.999
_cell_length_c 5.167
_cell_angle_alpha 90.00
_cell_angle_beta 90.00
_cell_angle_gamma 90.00
loop_
_atom_site_label
_atom_site_fract_x
_atom_site_fract_y
_atom_site_fract_z
Rb1 0.000 0.000 0.000
Tc1 0.000 0.000 0.500
Sb1 0.000 0.500 0.000
Se1 0.500 0.500 0.500

***

# RbSbTe2Se (PBE-GGA, optimized geometry)
# Raw formation energy (eV/atom): 1.351
# Distance to the lowest polymorph of the same formula (meV per atom): 1344
# Total DFT energy (no corrections) (eV per atom): -1.621
data_RbSbTe2Se
_space_group_name_H-M_alt 'P 4/m m m'
_space_group_IT_number 123
_space_group_name_Hall '-P 4 2'
_cell_length_a 6.452
_cell_length_b 6.452
_cell_length_c 6.373
_cell_angle_alpha 90.00
_cell_angle_beta 90.00
_cell_angle_gamma 90.00
loop_
_atom_site_label
_atom_site_fract_x
_atom_site_fract_y
_atom_site_fract_z
Rb1 0.000 0.000 0.000
Sb1 0.000 0.000 0.500
Te1 0.000 0.500 0.000
Se1 0.500 0.500 0.500